1.
Compound: Pr2TlGa
Source: the Alexandria database
Functional: GGA-PBE
Structure: relaxed

Its density is 8.2 g/cm³. For the polymorph energy (0 for the lowest one), the calculation gives 0.029 eV/atom. For the formation energy, the calculation gives -0.438 eV/atom. Its total DFT energy (no corrections) is -4.18 eV/atom.

It has space group Fm-3m (No. 225), with a = 7.679 Å, b = 7.679 Å, c = 7.679 Å, α = 90.00°, β = 90.00° and γ = 90.00°. The asymmetric unit holds Pr at (0.250, 0.250, 0.250), Tl at (0.000, 0.000, 0.000) and Ga at (0.000, 0.000, 0.500).


2.
Compound: KSrBiAu
Source: the Alexandria database
Functional: GGA-PBE
Structure: relaxed

Its density is 6.8 g/cm³. For the formation energy, the calculation gives -0.464 eV/atom. Its total DFT energy (no corrections) is -2.95 eV/atom.

It has space group F-43m (No. 216), with a = 8.046 Å, b = 8.046 Å, c = 8.046 Å, α = 90.00°, β = 90.00° and γ = 90.00°. The asymmetric unit holds K at (0.000, 0.000, 0.000), Sr at (0.000, 0.000, 0.500), Bi at (0.250, 0.250, 0.750) and Au at (0.250, 0.250, 0.250).


3.
Compound: Ac2Pr2CoAg2
Source: the Alexandria database
Functional: GGA-PBE
Structure: relaxed

Its density is 7.7 g/cm³. For the formation energy, the calculation gives -0.114 eV/atom. Its total DFT energy (no corrections) is -4.48 eV/atom.

It has space group C2/m (No. 12), with a = 15.618 Å, b = 4.366 Å, c = 7.073 Å, α = 90.00°, β = 115.55° and γ = 90.00°. The asymmetric unit holds Ac at (0.203, 0.000, 0.203), Pr at (0.004, 0.500, 0.753), Co at (0.000, 0.000, 0.000) and Ag at (0.118, 0.000, 0.606).


4.
Compound: AlCd2P
Source: the Alexandria database
Functional: GGA-PBE
Structure: relaxed

Its density is 5.2 g/cm³. For the polymorph energy (0 for the lowest one), the calculation gives 0.047 eV/atom. For the formation energy, the calculation gives 0.005 eV/atom. Its total DFT energy (no corrections) is -2.74 eV/atom.

It has space group P4mm (No. 99), with a = 3.390 Å, b = 3.390 Å, c = 7.890 Å, α = 90.00°, β = 90.00° and γ = 90.00°. The asymmetric unit holds Al at (0.000, 0.000, 0.000), Cd at (0.000, 0.000, 0.655), Cd at (0.500, 0.500, 0.406) and P at (0.500, 0.500, 0.078).


5.
Compound: CsZn2Pt
Source: the Alexandria database
Functional: GGA-PBE
Structure: relaxed

Its density is 7.7 g/cm³. For the polymorph energy (0 for the lowest one), the calculation gives 0.755 eV/atom. For the formation energy, the calculation gives 0.453 eV/atom. Its total DFT energy (no corrections) is -1.91 eV/atom.

It has space group Fm-3m (No. 225), with a = 7.333 Å, b = 7.333 Å, c = 7.333 Å, α = 90.00°, β = 90.00° and γ = 90.00°. The asymmetric unit holds Cs at (0.000, 0.000, 0.000), Zn at (0.250, 0.250, 0.250) and Pt at (0.000, 0.000, 0.500).


6.
Compound: TlPdPb2
Source: the Alexandria database
Functional: GGA-PBE
Structure: relaxed

Its density is 10.9 g/cm³. For the polymorph energy (0 for the lowest one), the calculation gives 0.060 eV/atom. For the formation energy, the calculation gives -0.075 eV/atom. Its total DFT energy (no corrections) is -3.82 eV/atom.

It has space group R3m (No. 160, hexagonal axes), with a = 3.7160 Å, b = 3.7160 Å, c = 27.6805 Å, α = 90.00°, β = 90.00° and γ = 120.00°. The asymmetric unit holds Tl at (0.0000, 0.0000, 0.0000), Pd at (0.0000, 0.0000, 0.8362), Pb at (0.0000, 0.0000, 0.2363) and Pb at (0.0000, 0.0000, 0.4361).


7.
Compound: Cs3Tl2Cd4
Source: the Alexandria database
Functional: GGA-PBE
Structure: relaxed

Its density is 5.0 g/cm³. For the polymorph energy (0 for the lowest one), the calculation gives 0.055 eV/atom. For the formation energy, the calculation gives -0.013 eV/atom. Its total DFT energy (no corrections) is -1.23 eV/atom.

It has space group C2/c (No. 15), with a = 15.912 Å, b = 13.098 Å, c = 8.246 Å, α = 90.00°, β = 103.77° and γ = 90.00°. The asymmetric unit holds Cs at (0.000, 0.084, 0.250), Cs at (0.110, 0.357, 0.597), Tl at (0.168, 0.152, 0.942), Cd at (0.145, 0.339, 0.134) and Cd at (0.209, 0.042, 0.642).


8.
Compound: BaGaHg3
Source: the Alexandria database
Functional: GGA-PBE
Structure: relaxed

Its density is 9.1 g/cm³. For the polymorph energy (0 for the lowest one), the calculation gives 0.000 eV/atom. For the formation energy, the calculation gives -0.298 eV/atom. Its total DFT energy (no corrections) is -1.47 eV/atom.

It has space group P2_1/c (No. 14), with a = 8.323 Å, b = 7.817 Å, c = 9.385 Å, α = 90.00°, β = 105.38° and γ = 90.00°. The asymmetric unit holds Ba at (0.180, 0.070, 0.223), Ga at (0.436, 0.734, 0.594), Hg at (0.089, 0.666, 0.054), Hg at (0.272, 0.502, 0.372) and Hg at (0.414, 0.116, 0.607).


Among the records above, which one has the highest total DFT energy (no corrections)? Cs3Tl2Cd4


What is the total DFT energy (no corrections) in the fourth record? -2.74 eV/atom


Which of these has the highest total DFT energy (no corrections)? Cs3Tl2Cd4


total DFT energy (no corrections) of number 2 (KSrBiAu)? -2.95 eV/atom